Record 1
Compound: MgGa2O
Source: Alexandria
Functional: PBE
Structure: relaxed

The calculation puts the formation energy from raw total energies at -46.3 kJ per mole of atoms. For the energy above the most stable polymorph in this dataset, the calculation gives 0 meV/atom. The energy is -3.6316 eV per atom.

The space group is I-42d (No. 122) and the conventional cell measures 6.447, 6.447 and 6.679 Å, with angles of 90.00, 90.00 and 90.00 degrees. The asymmetric unit holds Mg at (0.000, 0.000, 0.000), Ga at (0.171, 0.750, 0.625) and O at (0.000, 0.000, 0.500).



Record 2
Compound: MgGaO3
Source: Alexandria
Functional: PBE
Structure: relaxed

The calculation puts the formation energy from raw total energies at -65.7 kJ per mole of atoms. The energy is -4.5800 eV per atom.

The space group is Pm-3m (No. 221) and the conventional cell measures 3.805, 3.805 and 3.805 Å, with angles of 90.00, 90.00 and 90.00 degrees. The asymmetric unit holds Mg at (0.000, 0.000, 0.000), Ga at (0.500, 0.500, 0.500) and O at (0.000, 0.000, 0.500).



Record 3
Compound: MgGaO3
Source: Alexandria
Functional: PBE
Structure: relaxed

The calculation puts the formation energy from raw total energies at -157.8 kJ per mole of atoms. The energy is -5.5348 eV per atom.

The space group is P-6c2 (No. 188) and the conventional cell measures 5.2711, 5.2711 and 5.4380 Å, with angles of 90.00, 90.00 and 120.00 degrees. The asymmetric unit holds Mg at (0.0000, 0.0000, 0.0000), Ga at (0.3333, 0.6667, 0.0000) and O at (0.1236, 0.3451, 0.2500).



Record 4
Compound: MgGaO2
Source: Alexandria
Functional: PBE
Structure: relaxed

The calculation puts the formation energy from raw total energies at -168.5 kJ per mole of atoms. For the energy above the most stable polymorph in this dataset, the calculation gives 70 meV/atom. The energy is -5.3813 eV per atom.

The space group is R-3m (No. 166, hexagonal axes) and the conventional cell measures 3.1172, 3.1172 and 17.2168 Å, with angles of 90.00, 90.00 and 120.00 degrees. The asymmetric unit holds Mg at (0.0000, 0.0000, 0.0000), Ga at (0.0000, 0.0000, 0.5000) and O at (0.0000, 0.0000, 0.3948).



Record 5
Compound: Mg6Ga2O
Source: Alexandria
Functional: PBE
Structure: relaxed

The calculation puts the formation energy from raw total energies at -56.0 kJ per mole of atoms. The energy is -2.8667 eV per atom.

The space group is P4/mnc (No. 128) and the conventional cell measures 6.102, 6.102 and 8.635 Å, with angles of 90.00, 90.00 and 90.00 degrees. The asymmetric unit holds Mg at (0.000, 0.000, 0.249), Mg at (0.247, 0.252, 0.000), Ga at (0.000, 0.500, 0.250) and O at (0.000, 0.000, 0.500).



Record 6
Compound: MgGaO3
Source: Alexandria
Functional: PBE
Structure: relaxed

The calculation puts the formation energy from raw total energies at -129.0 kJ per mole of atoms. The energy is -5.2366 eV per atom.

The space group is Pm-3m (No. 221) and the conventional cell measures 3.776, 3.776 and 3.776 Å, with angles of 90.00, 90.00 and 90.00 degrees. The asymmetric unit holds Mg at (0.000, 0.000, 0.000), Ga at (0.500, 0.500, 0.500) and O at (0.000, 0.500, 0.500).



Record 7
Compound: Mg2GaOsO8
Source: Alexandria
Functional: PBE
Structure: relaxed

The calculation puts the formation energy from raw total energies at -144.3 kJ per mole of atoms. The energy is -6.2553 eV per atom.

The space group is Cmmm (No. 65) and the conventional cell measures 6.423, 6.807 and 6.198 Å, with angles of 90.00, 90.00 and 90.00 degrees. The asymmetric unit holds Mg at (0.000, 0.000, 0.247), Ga at (0.000, 0.500, 0.000), Os at (0.000, 0.500, 0.500), O at (0.000, 0.311, 0.279), O at (0.210, 0.000, 0.500) and O at (0.214, 0.000, 0.000).



Record 8
Compound: MgGaP2O
Source: Alexandria
Functional: PBE
Structure: relaxed

The calculation puts the formation energy from raw total energies at 26.1 kJ per mole of atoms. For the energy above the most stable polymorph in this dataset, the calculation gives 196 meV/atom. The energy is -3.8096 eV per atom.

The space group is P4/mmm (No. 123) and the conventional cell measures 5.054, 5.054 and 3.624 Å, with angles of 90.00, 90.00 and 90.00 degrees. The asymmetric unit holds Mg at (0.000, 0.000, 0.000), Ga at (0.500, 0.500, 0.500), P at (0.000, 0.500, 0.000) and O at (0.000, 0.000, 0.500).



Record 9
Compound: MgGa2PO6
Source: Alexandria
Functional: PBE
Structure: relaxed

The calculation puts the formation energy from raw total energies at -181.3 kJ per mole of atoms. The energy is -6.1602 eV per atom.

The space group is C2/c (No. 15) and the conventional cell measures 9.072, 9.862 and 5.611 Å, with angles of 90.00, 112.05 and 90.00 degrees. The asymmetric unit holds Mg at (0.000, 0.096, 0.250), Ga at (0.137, 0.411, 0.162), P at (0.000, 0.195, 0.750), O at (0.110, 0.224, 0.073), O at (0.117, 0.088, 0.687) and O at (0.121, 0.430, 0.480).



Record 10
Compound: MgGaP2O
Source: Alexandria
Functional: PBE
Structure: relaxed

The calculation puts the formation energy from raw total energies at 7.1 kJ per mole of atoms. For the energy above the most stable polymorph in this dataset, the calculation gives 0 meV/atom. The energy is -4.0058 eV per atom.

The space group is P4/mmm (No. 123) and the conventional cell measures 5.030, 5.030 and 3.548 Å, with angles of 90.00, 90.00 and 90.00 degrees. The asymmetric unit holds Mg at (0.000, 0.000, 0.000), Ga at (0.500, 0.500, 0.500), P at (0.000, 0.500, 0.500) and O at (0.500, 0.500, 0.000).



Record 11
Compound: MgGaP2O8
Source: Alexandria
Functional: PBE
Structure: relaxed

The calculation puts the formation energy from raw total energies at -189.8 kJ per mole of atoms. The energy is -6.5590 eV per atom.

The space group is I-4m2 (No. 119) and the conventional cell measures 6.445, 6.445 and 5.864 Å, with angles of 90.00, 90.00 and 90.00 degrees. The asymmetric unit holds Mg at (0.000, 0.000, 0.000), Ga at (0.000, 0.500, 0.250), P at (0.000, 0.000, 0.500), P at (0.000, 0.500, 0.750), O at (0.000, 0.188, 0.335) and O at (0.000, 0.315, 0.918).



Record 12
Compound: MgPa2GaO8
Source: Alexandria
Functional: PBE
Structure: relaxed

The calculation puts the formation energy from raw total energies at -243.1 kJ per mole of atoms. The energy is -7.7933 eV per atom.

The space group is P-3m1 (No. 164) and the conventional cell measures 6.3250, 6.3250 and 5.1401 Å, with angles of 90.00, 90.00 and 120.00 degrees. The asymmetric unit holds Mg at (0.0000, 0.0000, 0.0000), Pa at (0.3333, 0.6667, 0.7113), Ga at (0.0000, 0.0000, 0.5000), O at (0.1430, 0.2861, 0.7396) and O at (0.3333, 0.6667, 0.3231).



Record 13
Compound: Mg2PaGaO6
Source: Alexandria
Functional: PBE
Structure: relaxed

The calculation puts the formation energy from raw total energies at -229.2 kJ per mole of atoms. The energy is -6.9216 eV per atom.

The space group is P4mm (No. 99) and the conventional cell measures 5.352, 5.352 and 5.058 Å, with angles of 90.00, 90.00 and 90.00 degrees. The asymmetric unit holds Mg at (0.000, 0.500, 0.000), Pa at (0.000, 0.000, 0.633), Ga at (0.500, 0.500, 0.665), O at (0.000, 0.000, 0.235), O at (0.257, 0.257, 0.815) and O at (0.500, 0.500, 0.308).



Record 14
Compound: MgGaPbO4
Source: Alexandria
Functional: PBE
Structure: relaxed

The calculation puts the formation energy from raw total energies at -156.8 kJ per mole of atoms. The energy is -5.6484 eV per atom.

The space group is Imma (No. 74) and the conventional cell measures 6.365, 6.397 and 8.907 Å, with angles of 90.00, 90.00 and 90.00 degrees. The asymmetric unit holds Mg at (0.000, 0.000, 0.000), Ga at (0.000, 0.250, 0.374), Pb at (0.250, 0.250, 0.750), O at (0.000, 0.017, 0.239) and O at (0.242, 0.250, 0.010).



Record 15
Compound: MgGaPb2O6
Source: Alexandria
Functional: PBE
Structure: relaxed

The calculation puts the formation energy from raw total energies at -140.0 kJ per mole of atoms. The energy is -5.6294 eV per atom.

The space group is R3 (No. 146, hexagonal axes) and the conventional cell measures 5.4977, 5.4977 and 14.5398 Å, with angles of 90.00, 90.00 and 120.00 degrees. The asymmetric unit holds Mg at (0.0000, 0.0000, 0.0000), Ga at (0.0000, 0.0000, 0.4944), Pb at (0.0000, 0.0000, 0.2750), Pb at (0.0000, 0.0000, 0.7850), O at (0.0535, 0.6935, 0.0675) and O at (0.0719, 0.3434, 0.5619).



Record 16
Compound: PmMgGaO4
Source: Alexandria
Functional: PBE
Structure: relaxed

The calculation puts the formation energy from raw total energies at -238.1 kJ per mole of atoms. The energy is -6.6399 eV per atom.

The space group is Imma (No. 74) and the conventional cell measures 6.321, 6.568 and 8.842 Å, with angles of 90.00, 90.00 and 90.00 degrees. The asymmetric unit holds Pm at (0.000, 0.000, 0.000), Mg at (0.250, 0.250, 0.250), Ga at (0.000, 0.250, 0.619), O at (0.000, 0.001, 0.263) and O at (0.242, 0.250, 0.489).



Record 17
Compound: MgGaPtO4
Source: Alexandria
Functional: PBE
Structure: relaxed

The calculation puts the formation energy from raw total energies at -140.8 kJ per mole of atoms. The energy is -5.8157 eV per atom.

The space group is Imma (No. 74) and the conventional cell measures 5.915, 6.094 and 9.158 Å, with angles of 90.00, 90.00 and 90.00 degrees. The asymmetric unit holds Mg at (0.000, 0.250, 0.122), Ga at (0.250, 0.250, 0.750), Pt at (0.000, 0.000, 0.500), O at (0.000, 0.028, 0.759) and O at (0.233, 0.250, 0.523).



Record 18
Compound: MgGaPtO6
Source: Alexandria
Functional: PBE
Structure: relaxed

The calculation puts the formation energy from raw total energies at -106.5 kJ per mole of atoms. The energy is -5.5942 eV per atom.

The space group is P-31c (No. 163) and the conventional cell measures 5.1450, 5.1450 and 8.6909 Å, with angles of 90.00, 90.00 and 120.00 degrees. The asymmetric unit holds Mg at (0.0000, 0.0000, 0.0000), Ga at (0.3333, 0.6667, 0.2500), Pt at (0.3333, 0.6667, 0.7500) and O at (0.0038, 0.3517, 0.6292).



Record 19
Compound: PuMg2GaO6
Source: Alexandria
Functional: PBE
Structure: relaxed

The calculation puts the formation energy from raw total energies at -200.5 kJ per mole of atoms. The energy is -7.1074 eV per atom.

The space group is P4mm (No. 99) and the conventional cell measures 5.594, 5.594 and 4.394 Å, with angles of 90.00, 90.00 and 90.00 degrees. The asymmetric unit holds Pu at (0.000, 0.000, 0.000), Mg at (0.000, 0.500, 0.288), Ga at (0.500, 0.500, 0.957), O at (0.000, 0.000, 0.516), O at (0.260, 0.260, 0.089) and O at (0.500, 0.500, 0.545).



Record 20
Compound: Mg2GaReO6
Source: Alexandria
Functional: PBE
Structure: relaxed

The calculation puts the formation energy from raw total energies at -166.5 kJ per mole of atoms. The energy is -6.5673 eV per atom.

The space group is P4mm (No. 99) and the conventional cell measures 5.153, 5.153 and 4.914 Å, with angles of 90.00, 90.00 and 90.00 degrees. The asymmetric unit holds Mg at (0.000, 0.500, 0.000), Ga at (0.000, 0.000, 0.642), Re at (0.500, 0.500, 0.635), O at (0.000, 0.000, 0.277), O at (0.255, 0.255, 0.810) and O at (0.500, 0.500, 0.283).